Below is crystalline Ti7V2Sn at its relaxed geometry, with properties calculated at the GGA-PBE level.

Computed properties:
The calculation puts the total energy at -0.2646 hartree per atom. The calculated formation energy comes out at 53.07 kJ per mole of atoms.

```
data_Ti7V2Sn
_symmetry_space_group_name_H-M 'C m m m'
_symmetry_Int_Tables_number 65
_symmetry_space_group_name_Hall '-C 2 2'
_cell_length_a 7.0096
_cell_length_b 12.6779
_cell_length_c 4.4733
_cell_angle_alpha 90.00
_cell_angle_beta 90.00
_cell_angle_gamma 90.00
loop_
_atom_site_label
_atom_site_fract_x
_atom_site_fract_y
_atom_site_fract_z
Ti1 0.0000 0.0000 0.0000
Ti2 0.0000 0.2256 0.5000
Ti3 0.1827 0.3866 0.0000
V1 0.0000 0.2133 0.0000
Sn1 0.0000 0.5000 0.5000
```